This record from Alexandria describes Cs8K6As after structural relaxation. The functional is PBE-GGA.

magnetization = 0.0 μB/cell
energy of formation from the pure elements = -69 meV per atom

Lattice parameters (Å, degrees): 11.4224 11.4224 11.4224 72.73 72.73 72.73
Fractional positions:
Cs (0.1909, 0.6109, 0.4652)
Cs (0.2408, 0.2408, 0.2408)
Cs (0.3891, 0.5348, 0.8091)
Cs (0.4652, 0.1909, 0.6109)
Cs (0.5348, 0.8091, 0.3891)
Cs (0.6109, 0.4652, 0.1909)
Cs (0.7592, 0.7592, 0.7592)
Cs (0.8091, 0.3891, 0.5348)
K (0.0147, 0.3058, 0.9104)
K (0.0896, 0.9853, 0.6942)
K (0.3058, 0.9104, 0.0147)
K (0.6942, 0.0896, 0.9853)
K (0.9104, 0.0147, 0.3058)
K (0.9853, 0.6942, 0.0896)
As (0.5000, 0.5000, 0.5000)